Record 1
PBE-GGA Nd3SmIr8, relaxed; crystal system = trigonal; energy relative to the elements = -0.707 eV per atom; symmetry = R3m, No. 160; total DFT energy (no corrections) = -98.39 eV per cell
1.0
-0.566 3.007 -4.493
-0.344 -2.411 -4.860
-9.121 -0.219 -2.286
Nd Sm Ir
3 1 8
Cartesian
-8.320 0.032 -5.508
-0.915 0.596 -9.352
-5.013 0.189 -5.820
-4.218 0.439 -9.040
-2.399 1.722 -6.765
-6.833 -1.094 -8.095
-2.116 0.219 -4.520
-7.116 0.409 -10.339
-4.160 0.016 -2.754
-9.177 0.205 -8.573
-2.288 -0.986 -6.949
-6.944 1.613 -7.911



Record 2
PBE-GGA Nd2SmIr, relaxed; crystal system = trigonal; energy relative to the elements = -0.249 eV per atom; symmetry = R3m, No. 160; total DFT energy (no corrections) = -24.11 eV per cell
1.0
4.052 0.000 0.000
2.026 3.509 0.000
2.026 1.170 9.240
Nd Sm Ir
2 1 1
Cartesian
2.026 1.170 7.646
2.026 1.170 1.612
4.052 2.339 4.591
4.052 2.339 0.012